[1]
A relaxed structure of LaNd4Ir, computed with GGA-PBE.

Properties
E_tot = -5.69 eV/atom
ΔH_f (0 K) = -216.4 meV/atom
Crystal system = monoclinic

```
data_LaNd4Ir
_chemical_formula_sum 'La4 Nd16 Ir4'
_cell_length_a 17.284
_cell_length_b 6.772
_cell_length_c 7.277
_cell_angle_alpha 90.00
_cell_angle_beta 107.43
_cell_angle_gamma 90.00
_space_group_name_H-M_alt 'C 1 2/c 1'
_space_group_IT_number 15
loop_
_space_group_symop_operation_xyz
'x,y,z'
'-x,-y,-z'
'-x,y,-z+1/2'
'x,-y,z+1/2'
'x+1/2,y+1/2,z'
'-x+1/2,-y+1/2,-z'
'-x+1/2,y+1/2,-z+1/2'
'x+1/2,-y+1/2,z+1/2'
loop_
_atom_site_label
_atom_site_fract_x
_atom_site_fract_y
_atom_site_fract_z
La1 0.000 0.037 0.250
Nd1 0.100 0.407 0.023
Nd2 0.189 0.100 0.622
Ir1 0.250 0.250 0.000
```



[2]
A relaxed structure of La5NdIr3, computed with GGA-PBE.

Properties
E_tot = -6.82 eV/atom
ΔH_f (0 K) = -601.2 meV/atom
Crystal system = monoclinic

```
data_La5NdIr3
_chemical_formula_sum 'La20 Nd4 Ir12'
_cell_length_a 12.964
_cell_length_b 9.639
_cell_length_c 10.573
_cell_angle_alpha 90.00
_cell_angle_beta 113.94
_cell_angle_gamma 90.00
_space_group_name_H-M_alt 'C 1 2/m 1'
_space_group_IT_number 12
loop_
_space_group_symop_operation_xyz
'x,y,z'
'-x,-y,-z'
'-x,y,-z'
'x,-y,z'
'x+1/2,y+1/2,z'
'-x+1/2,-y+1/2,-z'
'-x+1/2,y+1/2,-z'
'x+1/2,-y+1/2,z'
loop_
_atom_site_label
_atom_site_fract_x
_atom_site_fract_y
_atom_site_fract_z
La1 0.000 0.198 0.000
La2 0.066 0.000 0.370
La3 0.166 0.304 0.666
La4 0.231 0.500 0.036
Nd1 0.102 0.500 0.299
Ir1 0.000 0.500 0.000
Ir2 0.000 0.500 0.500
Ir3 0.165 0.000 0.666
Ir4 0.167 0.000 0.166
```



[3]
A relaxed structure of La8NdIr6, computed with GGA-PBE.

Properties
E_tot = -7.12 eV/atom
ΔH_f (0 K) = -631.0 meV/atom
Crystal system = trigonal

```
data_La8NdIr6
_chemical_formula_sum 'La24 Nd3 Ir18'
_cell_length_a 8.5810
_cell_length_b 8.5810
_cell_length_c 19.1143
_cell_angle_alpha 90.00
_cell_angle_beta 90.00
_cell_angle_gamma 120.00
_space_group_name_H-M_alt 'R -3'
_space_group_IT_number 148
_space_group_name_Hall '-R 3'
loop_
_atom_site_label
_atom_site_fract_x
_atom_site_fract_y
_atom_site_fract_z
La1 0.0000 0.0000 0.1678
La2 0.0022 0.3314 0.6121
Nd1 0.0000 0.0000 0.5000
Ir1 0.0004 0.3335 0.4406
```



[4]
A relaxed structure of LaNd8Ir6, computed with GGA-PBE.

Properties
E_tot = -7.01 eV/atom
ΔH_f (0 K) = -591.3 meV/atom
Crystal system = trigonal

```
data_LaNd8Ir6
_chemical_formula_sum 'La3 Nd24 Ir18'
_cell_length_a 8.5284
_cell_length_b 8.5284
_cell_length_c 18.7970
_cell_angle_alpha 90.00
_cell_angle_beta 90.00
_cell_angle_gamma 120.00
_space_group_name_H-M_alt 'R -3'
_space_group_IT_number 148
_space_group_name_Hall '-R 3'
loop_
_atom_site_label
_atom_site_fract_x
_atom_site_fract_y
_atom_site_fract_z
La1 0.0000 0.0000 0.0000
Nd1 0.0000 0.0000 0.3348
Nd2 0.0024 0.6720 0.2211
Ir1 0.0014 0.3340 0.6085
```



[5]
A relaxed structure of La3NdIr2, computed with GGA-PBE.

Properties
E_tot = -6.81 eV/atom
ΔH_f (0 K) = -598.8 meV/atom
Crystal system = monoclinic

```
data_La3NdIr2
_chemical_formula_sum 'La12 Nd4 Ir8'
_cell_length_a 17.220
_cell_length_b 4.328
_cell_length_c 12.131
_cell_angle_alpha 90.00
_cell_angle_beta 121.66
_cell_angle_gamma 90.00
_space_group_name_H-M_alt 'C 1 2/m 1'
_space_group_IT_number 12
loop_
_space_group_symop_operation_xyz
'x,y,z'
'-x,-y,-z'
'-x,y,-z'
'x,-y,z'
'x+1/2,y+1/2,z'
'-x+1/2,-y+1/2,-z'
'-x+1/2,y+1/2,-z'
'x+1/2,-y+1/2,z'
loop_
_atom_site_label
_atom_site_fract_x
_atom_site_fract_y
_atom_site_fract_z
La1 0.060 0.000 0.193
La2 0.187 0.500 0.057
La3 0.188 0.000 0.561
Nd1 0.063 0.500 0.688
Ir1 0.124 0.500 0.378
Ir2 0.126 0.000 0.873
```



[6]
A relaxed structure of La2Nd2Ir3, computed with GGA-PBE.

Properties
E_tot = -7.20 eV/atom
ΔH_f (0 K) = -630.5 meV/atom
Crystal system = monoclinic

```
data_La2Nd2Ir3
_chemical_formula_sum 'La4 Nd4 Ir6'
_cell_length_a 11.335
_cell_length_b 4.430
_cell_length_c 9.019
_cell_angle_alpha 90.00
_cell_angle_beta 127.62
_cell_angle_gamma 90.00
_space_group_name_H-M_alt 'C 1 2/m 1'
_space_group_IT_number 12
loop_
_space_group_symop_operation_xyz
'x,y,z'
'-x,-y,-z'
'-x,y,-z'
'x,-y,z'
'x+1/2,y+1/2,z'
'-x+1/2,-y+1/2,-z'
'-x+1/2,y+1/2,-z'
'x+1/2,-y+1/2,z'
loop_
_atom_site_label
_atom_site_fract_x
_atom_site_fract_y
_atom_site_fract_z
La1 0.195 0.000 0.093
Nd1 0.088 0.500 0.383
Ir1 0.000 0.500 0.000
Ir2 0.151 0.000 0.640
```



[7]
A relaxed structure of LaNdIr, computed with GGA-PBE.

Properties
Energy relative to the lowest polymorph listed for this composition = 21.8 meV per atom
E_tot = -6.73 eV/atom
ΔH_f (0 K) = -547.6 meV/atom
Crystal system = trigonal

```
data_LaNdIr
_chemical_formula_sum 'La1 Nd1 Ir1'
_cell_length_a 4.2412
_cell_length_b 4.2412
_cell_length_c 6.5363
_cell_angle_alpha 90.00
_cell_angle_beta 90.00
_cell_angle_gamma 120.00
_space_group_name_H-M_alt 'P 3 m 1'
_space_group_IT_number 156
loop_
_space_group_symop_operation_xyz
'x,y,z'
'-y,x-y,z'
'-x+y,-x,z'
'-y,-x,z'
'-x+y,y,z'
'x,x-y,z'
loop_
_atom_site_label
_atom_site_fract_x
_atom_site_fract_y
_atom_site_fract_z
La1 0.0000 0.0000 0.0000
Nd1 0.3333 0.6667 0.4524
Ir1 0.6667 0.3333 0.2247
```



[8]
A relaxed structure of LaNdIr, computed with GGA-PBE.

Properties
Energy relative to the lowest polymorph listed for this composition = 0.0 meV per atom
E_tot = -6.75 eV/atom
ΔH_f (0 K) = -569.4 meV/atom
Crystal system = monoclinic

```
data_LaNdIr
_chemical_formula_sum 'La2 Nd2 Ir2'
_cell_length_a 6.324
_cell_length_b 4.335
_cell_length_c 7.497
_cell_angle_alpha 90.00
_cell_angle_beta 113.05
_cell_angle_gamma 90.00
_space_group_name_H-M_alt 'P 1 21/m 1'
_space_group_IT_number 11
loop_
_space_group_symop_operation_xyz
'x,y,z'
'-x,-y,-z'
'-x,y+1/2,-z'
'x,-y+1/2,z'
loop_
_atom_site_label
_atom_site_fract_x
_atom_site_fract_y
_atom_site_fract_z
La1 0.246 0.250 0.000
Nd1 0.242 0.750 0.495
Ir1 0.005 0.750 0.754
```



[9]
A relaxed structure of LaNdIr, computed with GGA-PBE.

Properties
Energy relative to the lowest polymorph listed for this composition = 135.8 meV per atom
E_tot = -6.62 eV/atom
ΔH_f (0 K) = -433.6 meV/atom
Crystal system = tetragonal

```
data_LaNdIr
_chemical_formula_sum 'La2 Nd2 Ir2'
_cell_length_a 3.610
_cell_length_b 3.610
_cell_length_c 13.572
_cell_angle_alpha 90.00
_cell_angle_beta 90.00
_cell_angle_gamma 90.00
_space_group_name_H-M_alt 'I 4 m m'
_space_group_IT_number 107
_space_group_name_Hall 'I 4 -2'
loop_
_atom_site_label
_atom_site_fract_x
_atom_site_fract_y
_atom_site_fract_z
La1 0.000 0.000 0.000
Nd1 0.000 0.000 0.755
Ir1 0.000 0.000 0.377
```



[10]
A relaxed structure of LaNdNiIr, computed with GGA-PBE.

Properties
Energy relative to the lowest polymorph listed for this composition = 86.4 meV per atom
E_tot = -6.53 eV/atom
ΔH_f (0 K) = -445.4 meV/atom
Crystal system = cubic

```
data_LaNdNiIr
_chemical_formula_sum 'La4 Nd4 Ni4 Ir4'
_cell_length_a 7.099
_cell_length_b 7.099
_cell_length_c 7.099
_cell_angle_alpha 90.00
_cell_angle_beta 90.00
_cell_angle_gamma 90.00
_space_group_name_H-M_alt 'F -4 3 m'
_space_group_IT_number 216
_space_group_name_Hall 'F -4 2 3'
loop_
_atom_site_label
_atom_site_fract_x
_atom_site_fract_y
_atom_site_fract_z
La1 0.000 0.000 0.000
Nd1 0.000 0.000 0.500
Ni1 0.250 0.250 0.750
Ir1 0.250 0.250 0.250
```



[11]
A relaxed structure of LaNdNiIr, computed with GGA-PBE.

Properties
Energy relative to the lowest polymorph listed for this composition = 0.0 meV per atom
E_tot = -6.62 eV/atom
ΔH_f (0 K) = -531.8 meV/atom
Crystal system = orthorhombic

```
data_LaNdNiIr
_chemical_formula_sum 'La2 Nd2 Ni2 Ir2'
_cell_length_a 4.196
_cell_length_b 4.017
_cell_length_c 11.044
_cell_angle_alpha 90.00
_cell_angle_beta 90.00
_cell_angle_gamma 90.00
_space_group_name_H-M_alt 'A m m 2'
_space_group_IT_number 38
loop_
_space_group_symop_operation_xyz
'x,y,z'
'-x,-y,z'
'-x,y,z'
'x,-y,z'
'x,y+1/2,z+1/2'
'-x,-y+1/2,z+1/2'
'-x,y+1/2,z+1/2'
'x,-y+1/2,z+1/2'
loop_
_atom_site_label
_atom_site_fract_x
_atom_site_fract_y
_atom_site_fract_z
La1 0.000 0.000 0.000
Nd1 0.500 0.000 0.722
Ni1 0.000 0.000 0.285
Ir1 0.500 0.000 0.438
```



[12]
A relaxed structure of LaNdIrO6, computed with GGA-PBE.

Properties
E_tot = -7.51 eV/atom
Crystal system = trigonal

```
data_LaNdIrO6
_chemical_formula_sum 'La2 Nd2 Ir2 O12'
_cell_length_a 5.6995
_cell_length_b 5.6995
_cell_length_c 9.9324
_cell_angle_alpha 90.00
_cell_angle_beta 90.00
_cell_angle_gamma 120.00
_space_group_name_H-M_alt 'P -3 1 c'
_space_group_IT_number 163
_space_group_name_Hall '-P 3 2c'
loop_
_atom_site_label
_atom_site_fract_x
_atom_site_fract_y
_atom_site_fract_z
La1 0.0000 0.0000 0.0000
Nd1 0.3333 0.6667 0.2500
Ir1 0.3333 0.6667 0.7500
O1 0.0530 0.3799 0.6378
```